# SnB2NCl

An optimized crystal structure of SnB2NCl (PBE, Alexandria via LeMat-Bulk).

## Properties
The value obtained for the density of states at the Fermi level is 3.4 states/eV/f.u. As for the uncorrected formation energy: 2.43 eV per atom. Its calculated total energy is -3.072 eV/atom.

abc: 3.5749 3.5749 7.5941
angles: 90.00 90.00 90.00
Closest atoms and distances in Å follow each position.
Sites, in units of the cell vectors:
Sn (0.0000, 0.0000, 0.0000)  4 N 2.53
B (0.0000, 0.5000, 0.5000)  2 Cl 1.79
B (0.5000, 0.0000, 0.5000)  2 Cl 1.79
N (0.5000, 0.5000, 0.0000)  4 Sn 2.53
Cl (0.0000, 0.0000, 0.5000)  4 B 1.79